[1]
A plane-wave DFT calculation with PBE was carried out for crystalline AcNdTmTl at its relaxed geometry.

Output
DOS at the Fermi energy, states/eV/f.u.: 7.44
ΔH_f (0 K), eV per atom: 0.040
Calculated volume, Å³ per cell: 512

Lattice parameters (Å, degrees): 8.0025 8.0025 8.0025 90.00 90.00 90.00
Last column: nearest neighbours and their distance in Å.
Space group F-43m (No. 216)
Symmetry-distinct sites (fractional):
1 Ac 0.0000 0.0000 0.0000 x4  4 Nd 3.47, 4 Tm 3.47
2 Nd 0.2500 0.2500 0.2500 x4  4 Ac 3.47, 4 Tl 3.47
3 Tm 0.2500 0.2500 0.7500 x4  4 Ac 3.47, 4 Tl 3.47
4 Tl 0.0000 0.0000 0.5000 x4  4 Nd 3.47, 4 Tm 3.47

***

[2]
A plane-wave DFT calculation with PBE was carried out for crystalline PmTm2AlPd4 at its relaxed geometry.

Output
DOS at the Fermi energy, states/eV/f.u.: 5.80
ΔH_f (0 K), eV per atom: -0.849
Calculated volume, Å³ per cell: 482

Lattice parameters (Å, degrees): 4.7764 4.7764 24.4164 90.00 90.00 120.00
Last column: nearest neighbours and their distance in Å.
Space group R-3m (No. 166, hexagonal axes)
Symmetry-distinct sites (fractional):
1 Pm 0.0000 0.0000 0.0000 x3  8 Pd 3.12-3.14
2 Tm 0.0000 0.0000 0.2427 x6  7 Pd 2.79-2.91
3 Al 0.0000 0.0000 0.5000 x3  8 Pd 2.60-2.91
4 Pd 0.0000 0.0000 0.1287 x6  4 Tm 2.79-2.91, 3 Al 2.91
5 Pd 0.0000 0.0000 0.3933 x6  1 Al 2.60, 3 Tm 2.86

***

[3]
A plane-wave DFT calculation with PBE was carried out for crystalline ReW at its relaxed geometry.

Output
DOS at the Fermi energy, states/eV/f.u.: 3.49
ΔH_f (0 K), eV per atom: 2.034
Calculated volume, Å³ per cell: 190

Lattice parameters (Å, degrees): 5.7468 5.7468 5.7468 90.00 90.00 90.00
Last column: nearest neighbours and their distance in Å.
Space group F-43m (No. 216)
Symmetry-distinct sites (fractional):
1 Re 0.0000 0.0000 0.0000 x4  4 W 2.49
2 W 0.2500 0.2500 0.7500 x4  4 Re 2.49

***

[4]
A plane-wave DFT calculation with PBE was carried out for crystalline Sr2MoPt at its relaxed geometry.

Output
DOS at the Fermi energy, states/eV/f.u.: 6.37
ΔH_f (0 K), eV per atom: 0.219
Calculated volume, Å³ per cell: 233

Lattice parameters (Å, degrees): 4.8019 5.2149 9.2896 90.00 90.00 90.00
Last column: nearest neighbours and their distance in Å.
Space group Cmm2 (No. 35)
Symmetry-distinct sites (fractional):
1 Sr 0.0000 0.0000 0.0000 x2  1 Pt 3.32, 4 Mo 3.40-3.55, 4 Sr 3.54
2 Sr 0.0000 0.5000 0.4009 x2  1 Mo 3.16, 4 Pt 3.29-3.44
3 Mo 0.0000 0.5000 0.7409 x2  4 Pt 2.57-2.76
4 Pt 0.0000 0.0000 0.6430 x2  4 Mo 2.57-2.76

***

[5]
A plane-wave DFT calculation with PBE was carried out for crystalline KHoTe2 at its relaxed geometry.

Output
Raw formation energy, eV per atom: -1.376
Calculated volume, Å³ per cell: 433

Lattice parameters (Å, degrees): 4.4596 4.4596 25.1293 90.00 90.00 120.00
Last column: nearest neighbours and their distance in Å.
Space group R3m (No. 160, hexagonal axes)
Symmetry-distinct sites (fractional):
1 K 0.0000 0.0000 0.0000 x3  6 Te 3.53-3.59
2 Ho 0.0000 0.0000 0.8314 x3  6 Te 3.10
3 Te 0.0000 0.0000 0.2337 x3  3 Ho 3.10
4 Te 0.0000 0.0000 0.4296 x3  3 Ho 3.10

***

[6]
A plane-wave DFT calculation with PBE was carried out for crystalline CeYP2 at its relaxed geometry.

Output
DOS at the Fermi energy, states/eV/f.u.: 4.01
ΔH_f (0 K), eV per atom: -1.516
Calculated volume, Å³ per cell: 187

Lattice parameters (Å, degrees): 4.0415 4.0415 13.2151 90.00 90.00 120.00
Last column: nearest neighbours and their distance in Å.
Space group P6_3/mmc (No. 194)
Symmetry-distinct sites (fractional):
1 Ce 0.0000 0.0000 0.0000 x2  6 P 2.85
2 Y 0.3333 0.6667 0.2500 x2  6 P 2.87
3 P 0.3333 0.6667 0.6242 x4  3 Ce 2.85, 3 Y 2.87

***

[7]
A plane-wave DFT calculation with PBE was carried out for crystalline Ta2VFe5B2 at its relaxed geometry.

Output
DOS at the Fermi energy, states/eV/f.u.: 4.14
ΔH_f (0 K), eV per atom: -0.452
Calculated volume, Å³ per cell: 219

Lattice parameters (Å, degrees): 8.6410 8.6410 2.9288 90.00 90.00 90.00
Last column: nearest neighbours and their distance in Å.
Space group P4/mbm (No. 127)
Symmetry-distinct sites (fractional):
1 Ta 0.1758 0.3242 0.0000 x4  3 B 2.49-2.61, 10 Fe 2.60-2.74
2 V 0.0000 0.0000 0.0000 x2  8 Fe 2.45
3 Fe 0.0000 0.5000 0.5000 x2  4 B 2.08
4 Fe 0.0689 0.7837 0.5000 x8  2 B 2.08
5 B 0.1208 0.6208 0.0000 x4  6 Fe 2.08

***

[8]
A plane-wave DFT calculation with PBE was carried out for crystalline Sb2Pt2I at its relaxed geometry.

Output
DOS at the Fermi energy, states/eV/f.u.: 3.47
Raw formation energy, eV per atom: -0.013
Calculated volume, Å³ per cell: 250

Lattice parameters (Å, degrees): 4.7953 4.7953 10.8542 90.00 90.00 90.00
Last column: nearest neighbours and their distance in Å.
Space group I4/mmm (No. 139)
Symmetry-distinct sites (fractional):
1 Sb 0.0000 0.5000 0.2500 x4  4 Pt 2.73
2 Pt 0.0000 0.0000 0.1305 x4  4 Sb 2.73, 1 Pt 2.83
3 I 0.0000 0.0000 0.5000 x2  8 Sb 3.62, 10 Pt 3.67-4.01

***

[9]
A plane-wave DFT calculation with PBE was carried out for crystalline Cd3Sn2Hg4 at its relaxed geometry.

Output
DOS at the Fermi energy, states/eV/f.u.: 3.18
ΔH_f (0 K), eV per atom: 0.058
Calculated volume, Å³ per cell: 237

Lattice parameters (Å, degrees): 5.0458 6.1318 8.2780 106.36 98.54 99.73
Last column: nearest neighbours and their distance in Å.
Space group P-1 (No. 2)
Symmetry-distinct sites (fractional):
1 Cd 0.0000 0.0000 0.0000 x1  6 Hg 3.00-3.24, 2 Sn 3.25
2 Cd 0.1815 0.6226 0.2424 x2  5 Hg 3.00-3.29, 2 Sn 3.15-3.32
3 Sn 0.3730 0.2388 0.3870 x2  4 Hg 3.04-3.12, 3 Cd 3.15-3.32, 1 Sn 3.15
4 Hg 0.2192 0.0691 0.6876 x2  3 Cd 3.00-3.16, 3 Sn 3.04-3.12, 2 Hg 3.33-3.35
5 Hg 0.3847 0.6795 0.9170 x2  5 Cd 3.00-3.29, 1 Sn 3.08, 2 Hg 3.19-3.35

***

[10]
A plane-wave DFT calculation with PBE was carried out for crystalline BaTlSb2 at its relaxed geometry.

Output
DOS at the Fermi energy, states/eV/f.u.: 1.61
Raw formation energy, eV per atom: -0.322
Calculated volume, Å³ per cell: 133

Lattice parameters (Å, degrees): 4.2584 4.2584 7.3202 90.00 90.00 90.00
Last column: nearest neighbours and their distance in Å.
Space group P4mm (No. 99)
Symmetry-distinct sites (fractional):
1 Ba 0.0000 0.0000 0.0000 x1  6 Sb 3.48-3.84, 4 Tl 3.71
2 Tl 0.5000 0.5000 0.7046 x1  1 Sb 3.01
3 Sb 0.0000 0.0000 0.4758 x1  4 Sb 3.29, 4 Tl 3.45, 1 Ba 3.48
4 Sb 0.5000 0.5000 0.2935 x1  1 Tl 3.01, 4 Sb 3.29

***

[11]
A plane-wave DFT calculation with PBE was carried out for crystalline Th3MnI3 at its relaxed geometry.

Output
DOS at the Fermi energy, states/eV/f.u.: 5.61
Raw formation energy, eV per atom: -0.652
Calculated volume, Å³ per cell: 487

Lattice parameters (Å, degrees): 9.5123 4.0735 12.5886 90.00 92.85 90.00
Last column: nearest neighbours and their distance in Å.
Space group P2_1/m (No. 11)
Symmetry-distinct sites (fractional):
1 Th 0.0778 0.2500 0.3951 x2  3 Mn 2.79-2.89
2 Th 0.1199 0.2500 0.8315 x2  1 Mn 2.62
3 Th 0.3011 0.7500 0.6198 x2  2 Mn 2.65
4 Mn 0.1227 0.2500 0.6237 x2  6 Th 2.62-2.89
5 I 0.1397 0.2500 0.1173 x2  4 Th 3.29-3.59
6 I 0.3840 0.7500 0.8760 x2  3 Th 3.26-3.28
7 I 0.3851 0.7500 0.3670 x2  5 Th 3.32-3.61

***

[12]
A plane-wave DFT calculation with PBE was carried out for crystalline La3Cd2Ag2 at its relaxed geometry.

Output
DOS at the Fermi energy, states/eV/f.u.: 6.90
ΔH_f (0 K), eV per atom: -0.271
Calculated volume, Å³ per cell: 192

Lattice parameters (Å, degrees): 5.2033 6.0271 6.8402 83.28 89.94 64.56
Last column: nearest neighbours and their distance in Å.
Space group P-1 (No. 2)
Symmetry-distinct sites (fractional):
1 La 0.0000 0.0000 0.0000 x1  2 Ag 3.12, 4 Cd 3.47
2 La 0.3766 0.2451 0.2940 x2  3 Ag 3.12-3.17, 4 Cd 3.36-3.45
3 Cd 0.3173 0.3660 0.7910 x2  3 Ag 3.02-3.18, 2 La 3.36
4 Ag 0.1193 0.7640 0.4409 x2  1 Ag 2.79, 1 Cd 3.02, 2 La 3.12